# PBE-GGA PmSmMgRu, relaxed
# - Distance to the lowest polymorph of the same formula: 0.00 eV per formula unit
# - V: 25.967 A^3/atom
# - DFT formation energy: -0.1802 eV per atom
# - Density: 6.73 g/cm³
# - Energy: -5.27 eV per atom
# - Spin magnetization: 0.00 μB per cell
data_PmSmMgRu
_chemical_formula_sum 'Pm1 Sm1 Mg1 Ru1'
_symmetry_space_group_name_H-M 'P 4 m m'
_symmetry_Int_Tables_number 99
_cell_length_a 3.4592
_cell_length_b 3.4592
_cell_length_c 8.6801
_cell_angle_alpha 90.00
_cell_angle_beta 90.00
_cell_angle_gamma 90.00
loop_
_symmetry_equiv_pos_as_xyz
'x,y,z'
'-y,x,z'
'-x,-y,z'
'y,-x,z'
'-x,y,z'
'y,x,z'
'x,-y,z'
'-y,-x,z'
loop_
_atom_site_label
_atom_site_type_symbol
_atom_site_fract_x
_atom_site_fract_y
_atom_site_fract_z
Pm1 Pm 0.0000 0.0000 0.0000
Sm1 Sm 0.0000 0.0000 0.6054
Mg1 Mg 0.5000 0.5000 0.3030
Ru1 Ru 0.5000 0.5000 0.8011